Entry 1:
The following is a DFT calculation (GGA-PBE) of PrGdDySc after structural relaxation.

Cell: 7.9239 7.9239 7.9239 Å, 90.00 90.00 90.00°
Space group F-43m (No. 216)
Asymmetric unit:
1 Pr 0.0000 0.0000 0.0000 x4
2 Gd 0.0000 0.0000 0.5000 x4
3 Dy 0.2500 0.2500 0.7500 x4
4 Sc 0.2500 0.2500 0.2500 x4

Output
D(E_F) = 6.70 states/eV/f.u.
M_tot = 7.42 μB/f.u.
formation energy = 0.102 eV/atom
energy = -117.5 eV for the cell shown

***

Entry 2:
The following is a DFT calculation (GGA-PBE) of Tb2MnBePd6 after structural relaxation.

Cell: 9.9372 5.7558 7.1778 Å, 90.00 117.35 90.00°
Space group C2/m (No. 12)
Asymmetric unit:
1 Tb 0.2252 0.0000 0.2880 x4
2 Mn 0.0000 0.0000 0.5000 x2
3 Be 0.0000 0.5000 0.0000 x2
4 Pd 0.0831 0.2421 0.8489 x8
5 Pd 0.2144 0.5000 0.2738 x4

Output
D(E_F) = 3.91 states/eV/f.u.
M_tot = 4.33 μB/f.u.
formation energy = -0.535 eV/atom
energy = -117.3 eV for the cell shown

***

Entry 3:
The following is a DFT calculation (GGA-PBE) of Pm3Ge3Au8 after structural relaxation.

Cell: 4.7706 9.4893 13.2221 Å, 90.00 90.00 90.00°
Space group Immm (No. 71)
Asymmetric unit:
1 Pm 0.0000 0.0000 0.0000 x2
2 Pm 0.0000 0.0000 0.2936 x4
3 Ge 0.0000 0.1878 0.5000 x4
4 Ge 0.0000 0.5000 0.0000 x2
5 Au 0.0000 0.2926 0.1331 x8
6 Au 0.0000 0.3577 0.3453 x8

Output
relative energy among the computed polymorphs = 61 meV per atom
D(E_F) = 5.46 states/eV/f.u.
M_tot = 0.00 μB/f.u.
formation energy = -0.513 eV/atom
energy = -123.0 eV for the cell shown

***

Entry 4:
The following is a DFT calculation (GGA-PBE) of RbCd2SnAu after structural relaxation.

Cell: 5.4441 5.4441 5.4678 Å, 90.00 90.00 90.00°
Space group P4/mmm (No. 123)
Asymmetric unit:
1 Rb 0.0000 0.0000 0.0000 x1
2 Cd 0.0000 0.5000 0.5000 x2
3 Sn 0.5000 0.5000 0.0000 x1
4 Au 0.5000 0.5000 0.5000 x1

Output
D(E_F) = 2.40 states/eV/f.u.
M_tot = 0.00 μB/f.u.
formation energy = -0.023 eV/atom
energy = -10.2 eV for the cell shown